(A)
Material: TbGaPt3
Method: DFT, PBE-GGA
State: relaxed

Cell and atoms, written as POSCAR:
```
TbGaPt3
1.0
5.693 0.000 0.000
0.000 4.461 0.000
0.000 0.000 7.545
Tb Ga Pt
2 2 6
Cartesian
0.000 0.352 0.000 Tb
2.846 4.109 3.773 Tb
0.000 1.494 4.351 Ga
2.846 2.967 0.579 Ga
0.000 3.891 3.002 Pt
1.402 2.764 5.940 Pt
1.445 1.698 2.167 Pt
2.846 0.570 6.775 Pt
4.248 1.698 2.167 Pt
4.291 2.764 5.940 Pt
```

Computed properties:
- spin magnetization (μB/f.u.) = 0.00
- crystal system = orthorhombic

(B)
Material: TbGaPt3
Method: DFT, PBE-GGA
State: relaxed

Cell and atoms, written as POSCAR:
```
TbGaPt3
1.0
6.246 0.000 0.000
0.000 6.333 0.000
0.000 0.000 5.136
Tb Ga Pt
2 2 6
Cartesian
0.000 0.000 0.000 Tb
3.123 3.166 0.000 Tb
0.000 3.166 2.568 Ga
3.123 0.000 2.568 Ga
0.000 3.166 0.000 Pt
0.922 0.954 2.568 Pt
2.201 4.120 2.568 Pt
3.123 0.000 0.000 Pt
4.045 2.212 2.568 Pt
5.324 5.379 2.568 Pt
```

Computed properties:
- spin magnetization (μB/f.u.) = 0.00
- crystal system = orthorhombic

Of them, the most stable is (A) and the least stable is (B).